IrRh3 | meta-GGA SCAN | single point on PBEsol structure

Cell lengths 4.6431, 8.7478, 5.3655 Å; angles 90.00, 90.00, 90.00 degrees
Fractional coordinates of all 16 atoms:
Ir  0.0826  0.2500  0.1259
Ir  0.4174  0.7500  0.6259
Ir  0.5826  0.2500  0.3741
Ir  0.9174  0.7500  0.8741
Rh  0.0840  0.2500  0.6248
Rh  0.2475  0.9996  0.8753
Rh  0.2475  0.5004  0.8753
Rh  0.2525  0.0004  0.3753
Rh  0.2525  0.4996  0.3753
Rh  0.4160  0.7500  0.1248
Rh  0.5840  0.2500  0.8752
Rh  0.7475  0.9996  0.6247
Rh  0.7475  0.5004  0.6247
Rh  0.7525  0.0004  0.1247
Rh  0.7525  0.4996  0.1247
Rh  0.9160  0.7500  0.3752

## Properties
D(E_F)   4.5 states/eV/f.u.
Symmetry   Pnma
VASP energy   -43.100 eV/atom
E_form   0.00 eV per atom
Crystal system   orthorhombic